[1]
The following is a DFT calculation (PBE-GGA) of CsZnB2Br8 after structural relaxation.

Summary:
E_tot	-3.0337	eV/atom
total moment	0.0883	μB per atom
calculated volume	393.8	Å³ per cell
formation energy without anion corrections	-0.63	eV/atom

a = 6.692 Å, b = 6.692 Å, c = 10.865 Å
α = 72.06°, β = 72.06°, γ = 60.00°
Fractional coordinates of all 12 atoms:
Br 0.019 0.442 0.822
Br 0.283 0.981 0.178
Br 0.981 0.558 0.178
Br 0.186 0.186 0.443
Br 0.814 0.814 0.557
Br 0.442 0.717 0.822
Br 0.717 0.019 0.822
Br 0.558 0.283 0.178
B 0.252 0.252 0.243
B 0.748 0.748 0.757
Cs 0.500 0.500 0.500
Zn 0.000 0.000 0.000

---

[2]
The following is a DFT calculation (PBE-GGA) of LaY2Co after structural relaxation.

Summary:
E_tot	-6.3561	eV/atom
total moment	0.0001	μB per atom
energy relative to the elements	-116	meV per atom
distance to the lowest polymorph of the same formula	0.11	eV/f.u.
calculated volume	220.9	Å³ per cell

a = 3.683 Å, b = 6.427 Å, c = 9.735 Å
α = 90.00°, β = 90.00°, γ = 106.57°
Fractional coordinates of all 8 atoms:
Y 0.644 0.287 0.075
Y 0.356 0.713 0.575
Y 0.356 0.713 0.925
Y 0.644 0.287 0.425
Co 0.251 0.502 0.250
Co 0.749 0.498 0.750
La 0.910 0.820 0.250
La 0.090 0.180 0.750